# CsZrB PBE optimized geometry
data_CsZrB
_chemical_formula_sum 'Cs2 Zr2 B2'
_cell_length_a 5.307
_cell_length_b 3.622
_cell_length_c 11.436
_cell_angle_alpha 92.87
_cell_angle_beta 89.99
_cell_angle_gamma 90.00
_space_group_name_H-M_alt 'P 1'
_space_group_IT_number 1
loop_
_space_group_symop_operation_xyz
'x,y,z'
loop_
_atom_site_label
_atom_site_fract_x
_atom_site_fract_y
_atom_site_fract_z
Cs1 0.863 0.676 0.721
Cs2 0.363 0.083 0.134
B1 0.703 0.137 0.478
B2 0.022 0.137 0.478
Zr1 0.863 0.620 0.366
Zr2 0.363 0.635 0.461
# - D(E_F): 5.4 states/eV per cell
# - Polymorph energy (0 for the lowest one): 40 meV/atom
# - Total energy: -4.98 eV/atom
# - ΔE_f: 0.381 eV/atom